Entry from Alexandria: a relaxed structure of FeSi2Os (PBE). Values from VASP.

Properties
Raw formation energy ... -0.29 eV per formula unit
SG ... I-4m2 (119)
E_tot ... -30.832 eV for the cell shown

Quantum ESPRESSO input file:
```
&SYSTEM
  ibrav = 0, nat = 4, ntyp = 3
/
ATOMIC_SPECIES
Si 28.09 Si.upf
Os 190.23 Os.upf
Fe 55.84 Fe.upf
CELL_PARAMETERS angstrom
4.6859 -0.0073 0.0000
2.0022 4.2366 0.0000
-3.3440 -2.1147 2.5106
ATOMIC_POSITIONS angstrom
Si 0.0000 0.0000 0.0000
Os 2.3429 -0.0036 1.2553
Fe 3.3440 2.1147 0.0000
Si 1.0011 2.1183 1.2553
```